(A)
# PBE Cu2ReNi, optimized geometry
data_Cu2ReNi
_symmetry_space_group_name_H-M 'P 1'
_symmetry_Int_Tables_number 1
_cell_length_a 8.463
_cell_length_b 8.463
_cell_length_c 8.463
_cell_angle_alpha 18.12
_cell_angle_beta 18.12
_cell_angle_gamma 18.12
loop_
_symmetry_equiv_pos_as_xyz
'x,y,z'
loop_
_atom_site_label
_atom_site_type_symbol
_atom_site_fract_x
_atom_site_fract_y
_atom_site_fract_z
Cu1 Cu 0.997 0.997 0.997
Cu2 Cu 0.249 0.249 0.249
Re1 Re 0.752 0.752 0.752
Ni1 Ni 0.502 0.502 0.502
# ρ, g/cm³: 12.070
# Space-group type: No. 160


(B)
# PBE Cu2ReNi, optimized geometry
data_Cu2ReNi
_symmetry_space_group_name_H-M 'P 1'
_symmetry_Int_Tables_number 1
_cell_length_a 8.538
_cell_length_b 8.538
_cell_length_c 8.538
_cell_angle_alpha 17.87
_cell_angle_beta 17.87
_cell_angle_gamma 17.87
loop_
_symmetry_equiv_pos_as_xyz
'x,y,z'
loop_
_atom_site_label
_atom_site_type_symbol
_atom_site_fract_x
_atom_site_fract_y
_atom_site_fract_z
Re1 Re 0.750 0.750 0.750
Ni1 Ni 0.250 0.250 0.250
Cu1 Cu 0.504 0.504 0.504
Cu2 Cu 0.996 0.996 0.996
# ρ, g/cm³: 12.080
# Space-group type: No. 166


Computed relative energies in units of eV/atom: (A) 0.000; (B) 0.066


(A)
# PBE CuNi5Rh4, optimized geometry
data_CuNi5Rh4
_symmetry_space_group_name_H-M 'P 1'
_symmetry_Int_Tables_number 1
_cell_length_a 4.248
_cell_length_b 5.940
_cell_length_c 5.940
_cell_angle_alpha 82.66
_cell_angle_beta 69.05
_cell_angle_gamma 69.05
loop_
_symmetry_equiv_pos_as_xyz
'x,y,z'
loop_
_atom_site_label
_atom_site_type_symbol
_atom_site_fract_x
_atom_site_fract_y
_atom_site_fract_z
Ni1 Ni 0.755 0.376 0.000
Ni2 Ni 0.131 0.000 0.624
Ni3 Ni 0.699 0.000 0.000
Ni4 Ni 0.132 0.624 0.000
Ni5 Ni 0.755 0.000 0.376
Rh1 Rh 0.131 0.326 0.326
Rh2 Rh 0.783 0.674 0.674
Rh3 Rh 0.457 0.674 0.326
Rh4 Rh 0.457 0.326 0.674
Cu1 Cu 0.211 0.000 0.000
# ρ, g/cm³: 9.764
# Space-group type: No. 107


(B)
# PBE CuNi5Rh4, optimized geometry
data_CuNi5Rh4
_symmetry_space_group_name_H-M 'P 1'
_symmetry_Int_Tables_number 1
_cell_length_a 3.718
_cell_length_b 5.183
_cell_length_c 7.698
_cell_angle_alpha 119.08
_cell_angle_beta 103.97
_cell_angle_gamma 90.00
loop_
_symmetry_equiv_pos_as_xyz
'x,y,z'
loop_
_atom_site_label
_atom_site_type_symbol
_atom_site_fract_x
_atom_site_fract_y
_atom_site_fract_z
Rh1 Rh 0.298 0.703 0.597
Rh2 Rh 0.901 0.113 0.802
Rh3 Rh 0.702 0.297 0.403
Rh4 Rh 0.099 0.887 0.198
Cu1 Cu 0.500 0.000 0.000
Ni1 Ni 0.902 0.605 0.804
Ni2 Ni 0.500 0.500 0.000
Ni3 Ni 0.697 0.794 0.395
Ni4 Ni 0.098 0.395 0.196
Ni5 Ni 0.303 0.206 0.605
# ρ, g/cm³: 10.244
# Space-group type: No. 12


Computed relative energies in units of eV/atom: (A) 0.236; (B) 0.000


(A)
# PBE CuNi3Rh, optimized geometry
data_CuNi3Rh
_symmetry_space_group_name_H-M 'P 1'
_symmetry_Int_Tables_number 1
_cell_length_a 7.931
_cell_length_b 6.679
_cell_length_c 6.679
_cell_angle_alpha 66.28
_cell_angle_beta 54.96
_cell_angle_gamma 54.96
loop_
_symmetry_equiv_pos_as_xyz
'x,y,z'
loop_
_atom_site_label
_atom_site_type_symbol
_atom_site_fract_x
_atom_site_fract_y
_atom_site_fract_z
Rh1 Rh 0.155 0.525 0.269
Rh2 Rh 0.345 0.731 0.475
Rh3 Rh 0.845 0.475 0.731
Rh4 Rh 0.655 0.269 0.525
Ni1 Ni 0.352 0.222 0.977
Ni2 Ni 0.550 0.924 0.672
Ni3 Ni 0.553 0.421 0.174
Ni4 Ni 0.648 0.778 0.023
Ni5 Ni 0.148 0.023 0.778
Ni6 Ni 0.053 0.174 0.421
Ni7 Ni 0.450 0.076 0.328
Ni8 Ni 0.852 0.977 0.222
Ni9 Ni 0.447 0.579 0.826
Ni10 Ni 0.947 0.826 0.579
Ni11 Ni 0.950 0.328 0.076
Ni12 Ni 0.050 0.672 0.924
Cu1 Cu 0.250 0.365 0.635
Cu2 Cu 0.750 0.115 0.885
Cu3 Cu 0.250 0.885 0.115
Cu4 Cu 0.750 0.635 0.365
# ρ, g/cm³: 9.648
# Space-group type: No. 15


(B)
# PBE CuNi3Rh, optimized geometry
data_CuNi3Rh
_symmetry_space_group_name_H-M 'P 1'
_symmetry_Int_Tables_number 1
_cell_length_a 4.203
_cell_length_b 4.446
_cell_length_c 9.258
_cell_angle_alpha 43.47
_cell_angle_beta 90.00
_cell_angle_gamma 90.00
loop_
_symmetry_equiv_pos_as_xyz
'x,y,z'
loop_
_atom_site_label
_atom_site_type_symbol
_atom_site_fract_x
_atom_site_fract_y
_atom_site_fract_z
Cu1 Cu 0.750 0.152 0.509
Cu2 Cu 0.250 0.848 0.491
Ni1 Ni 0.250 0.427 0.100
Ni2 Ni 0.750 0.957 0.303
Ni3 Ni 0.750 0.573 0.900
Ni4 Ni 0.250 0.043 0.697
Ni5 Ni 0.750 0.369 0.695
Ni6 Ni 0.250 0.631 0.305
Rh1 Rh 0.250 0.249 0.894
Rh2 Rh 0.750 0.751 0.106
# ρ, g/cm³: 9.558
# Space-group type: No. 11


(C)
# PBE CuNi3Rh, optimized geometry
data_CuNi3Rh
_symmetry_space_group_name_H-M 'P 1'
_symmetry_Int_Tables_number 1
_cell_length_a 4.218
_cell_length_b 4.218
_cell_length_c 4.218
_cell_angle_alpha 90.00
_cell_angle_beta 90.00
_cell_angle_gamma 90.00
loop_
_symmetry_equiv_pos_as_xyz
'x,y,z'
loop_
_atom_site_label
_atom_site_type_symbol
_atom_site_fract_x
_atom_site_fract_y
_atom_site_fract_z
Ni1 Ni 0.500 0.000 0.000
Ni2 Ni 0.000 0.500 0.000
Ni3 Ni 0.000 0.000 0.500
Rh1 Rh 0.500 0.500 0.500
Cu1 Cu 0.000 0.000 0.000
# ρ, g/cm³: 7.579
# Space-group type: No. 221


Computed relative energies in units of eV/atom: (A) 0.000; (B) 0.010; (C) 1.132


(A)
# PBE Cu2Ni5Rh, optimized geometry
data_Cu2Ni5Rh
_symmetry_space_group_name_H-M 'P 1'
_symmetry_Int_Tables_number 1
_cell_length_a 6.231
_cell_length_b 6.231
_cell_length_c 6.655
_cell_angle_alpha 117.91
_cell_angle_beta 117.91
_cell_angle_gamma 90.00
loop_
_symmetry_equiv_pos_as_xyz
'x,y,z'
loop_
_atom_site_label
_atom_site_type_symbol
_atom_site_fract_x
_atom_site_fract_y
_atom_site_fract_z
Ni1 Ni 0.018 0.518 0.332
Ni2 Ni 0.518 0.313 0.332
Ni3 Ni 0.313 0.813 0.332
Ni4 Ni 0.482 0.687 0.668
Ni5 Ni 0.813 0.018 0.332
Ni6 Ni 0.500 0.500 0.000
Ni7 Ni 0.687 0.187 0.668
Ni8 Ni 0.982 0.482 0.668
Ni9 Ni 0.187 0.982 0.668
Ni10 Ni 0.000 0.000 0.000
Cu1 Cu 0.855 0.645 0.000
Cu2 Cu 0.145 0.355 0.000
Cu3 Cu 0.645 0.145 0.000
Cu4 Cu 0.355 0.855 0.000
Rh1 Rh 0.750 0.750 0.500
Rh2 Rh 0.250 0.250 0.500
# ρ, g/cm³: 8.977
# Space-group type: No. 140


(B)
# PBE Cu2Ni5Rh, optimized geometry
data_Cu2Ni5Rh
_symmetry_space_group_name_H-M 'P 1'
_symmetry_Int_Tables_number 1
_cell_length_a 5.084
_cell_length_b 5.075
_cell_length_c 5.075
_cell_angle_alpha 89.88
_cell_angle_beta 119.88
_cell_angle_gamma 120.08
loop_
_symmetry_equiv_pos_as_xyz
'x,y,z'
loop_
_atom_site_label
_atom_site_type_symbol
_atom_site_fract_x
_atom_site_fract_y
_atom_site_fract_z
Ni1 Ni 0.778 0.278 0.000
Ni2 Ni 0.778 0.778 0.500
Ni3 Ni 0.278 0.278 0.500
Ni4 Ni 0.278 0.778 0.000
Ni5 Ni 0.278 0.278 0.000
Cu1 Cu 0.278 0.778 0.500
Cu2 Cu 0.778 0.278 0.500
Rh1 Rh 0.778 0.778 0.000
# ρ, g/cm³: 9.373
# Space-group type: No. 12


Computed relative energies in units of eV/atom: (A) 0.199; (B) 0.000


(A)
# PBE Cu2NiRh, optimized geometry
data_Cu2NiRh
_symmetry_space_group_name_H-M 'P 1'
_symmetry_Int_Tables_number 1
_cell_length_a 2.690
_cell_length_b 4.292
_cell_length_c 4.306
_cell_angle_alpha 90.00
_cell_angle_beta 90.00
_cell_angle_gamma 90.00
loop_
_symmetry_equiv_pos_as_xyz
'x,y,z'
loop_
_atom_site_label
_atom_site_type_symbol
_atom_site_fract_x
_atom_site_fract_y
_atom_site_fract_z
Rh1 Rh 0.000 0.500 0.500
Ni1 Ni 0.500 0.000 0.500
Cu1 Cu 0.500 0.500 0.000
Cu2 Cu 0.000 0.000 0.000
# ρ, g/cm³: 9.640
# Space-group type: No. 47


(B)
# PBE Cu2NiRh, optimized geometry
data_Cu2NiRh
_symmetry_space_group_name_H-M 'P 1'
_symmetry_Int_Tables_number 1
_cell_length_a 4.485
_cell_length_b 4.485
_cell_length_c 2.624
_cell_angle_alpha 90.00
_cell_angle_beta 90.00
_cell_angle_gamma 109.69
loop_
_symmetry_equiv_pos_as_xyz
'x,y,z'
loop_
_atom_site_label
_atom_site_type_symbol
_atom_site_fract_x
_atom_site_fract_y
_atom_site_fract_z
Cu1 Cu 0.000 0.000 0.000
Cu2 Cu 0.500 0.500 0.000
Rh1 Rh 0.000 0.500 0.500
Ni1 Ni 0.500 0.000 0.500
# ρ, g/cm³: 9.644
# Space-group type: No. 65


Computed relative energies in units of eV/atom: (A) 0.000; (B) 0.012


(A)
# PBE Cu2NiRh, optimized geometry
data_Cu2NiRh
_symmetry_space_group_name_H-M 'P 1'
_symmetry_Int_Tables_number 1
_cell_length_a 4.989
_cell_length_b 4.989
_cell_length_c 4.989
_cell_angle_alpha 148.90
_cell_angle_beta 128.78
_cell_angle_gamma 61.14
loop_
_symmetry_equiv_pos_as_xyz
'x,y,z'
loop_
_atom_site_label
_atom_site_type_symbol
_atom_site_fract_x
_atom_site_fract_y
_atom_site_fract_z
Cu1 Cu 0.990 0.990 0.000
Cu2 Cu 0.510 0.510 0.000
Ni1 Ni 0.750 0.250 0.500
Rh1 Rh 0.250 0.750 0.500
# ρ, g/cm³: 9.677
# Space-group type: No. 71


(B)
# PBE Cu2NiRh, optimized geometry
data_Cu2NiRh
_symmetry_space_group_name_H-M 'P 1'
_symmetry_Int_Tables_number 1
_cell_length_a 2.584
_cell_length_b 8.085
_cell_length_c 4.916
_cell_angle_alpha 90.00
_cell_angle_beta 105.44
_cell_angle_gamma 90.00
loop_
_symmetry_equiv_pos_as_xyz
'x,y,z'
loop_
_atom_site_label
_atom_site_type_symbol
_atom_site_fract_x
_atom_site_fract_y
_atom_site_fract_z
Rh1 Rh 0.975 0.250 0.447
Rh2 Rh 0.025 0.750 0.553
Ni1 Ni 0.239 0.250 0.985
Ni2 Ni 0.761 0.750 0.015
Cu1 Cu 0.628 0.018 0.760
Cu2 Cu 0.628 0.482 0.760
Cu3 Cu 0.372 0.518 0.240
Cu4 Cu 0.372 0.982 0.240
# ρ, g/cm³: 9.685
# Space-group type: No. 11


(C)
# PBE Cu2NiRh, optimized geometry
data_Cu2NiRh
_symmetry_space_group_name_H-M 'P 1'
_symmetry_Int_Tables_number 1
_cell_length_a 2.572
_cell_length_b 2.572
_cell_length_c 8.576
_cell_angle_alpha 90.00
_cell_angle_beta 90.00
_cell_angle_gamma 116.99
loop_
_symmetry_equiv_pos_as_xyz
'x,y,z'
loop_
_atom_site_label
_atom_site_type_symbol
_atom_site_fract_x
_atom_site_fract_y
_atom_site_fract_z
Cu1 Cu 0.500 0.500 0.253
Cu2 Cu 0.000 0.000 0.008
Ni1 Ni 0.000 0.000 0.493
Rh1 Rh 0.500 0.500 0.746
# ρ, g/cm³: 9.485
# Space-group type: No. 35


Computed relative energies in units of eV/atom: (A) 0.014; (B) 0.000; (C) 0.067


(A)
# PBE Cu2NiRh, optimized geometry
data_Cu2NiRh
_symmetry_space_group_name_H-M 'P 1'
_symmetry_Int_Tables_number 1
_cell_length_a 8.504
_cell_length_b 8.504
_cell_length_c 8.504
_cell_angle_alpha 17.77
_cell_angle_beta 17.77
_cell_angle_gamma 17.77
loop_
_symmetry_equiv_pos_as_xyz
'x,y,z'
loop_
_atom_site_label
_atom_site_type_symbol
_atom_site_fract_x
_atom_site_fract_y
_atom_site_fract_z
Ni1 Ni 0.502 0.502 0.502
Cu1 Cu 0.998 0.998 0.998
Cu2 Cu 0.249 0.249 0.249
Rh1 Rh 0.752 0.752 0.752
# ρ, g/cm³: 9.590
# Space-group type: No. 160


(B)
# PBE Cu2NiRh, optimized geometry
data_Cu2NiRh
_symmetry_space_group_name_H-M 'P 1'
_symmetry_Int_Tables_number 1
_cell_length_a 4.519
_cell_length_b 4.519
_cell_length_c 4.463
_cell_angle_alpha 79.83
_cell_angle_beta 79.83
_cell_angle_gamma 33.41
loop_
_symmetry_equiv_pos_as_xyz
'x,y,z'
loop_
_atom_site_label
_atom_site_type_symbol
_atom_site_fract_x
_atom_site_fract_y
_atom_site_fract_z
Cu1 Cu 0.003 0.003 0.993
Cu2 Cu 0.497 0.497 0.507
Rh1 Rh 0.250 0.250 0.250
Ni1 Ni 0.750 0.750 0.750
# ρ, g/cm³: 9.720
# Space-group type: No. 12


(C)
# PBE Cu2NiRh, optimized geometry
data_Cu2NiRh
_symmetry_space_group_name_H-M 'P 1'
_symmetry_Int_Tables_number 1
_cell_length_a 4.532
_cell_length_b 4.532
_cell_length_c 4.532
_cell_angle_alpha 132.61
_cell_angle_beta 132.61
_cell_angle_gamma 69.27
loop_
_symmetry_equiv_pos_as_xyz
'x,y,z'
loop_
_atom_site_label
_atom_site_type_symbol
_atom_site_fract_x
_atom_site_fract_y
_atom_site_fract_z
Cu1 Cu 0.000 0.000 0.000
Cu2 Cu 0.500 0.500 0.000
Ni1 Ni 0.250 0.750 0.500
Rh1 Rh 0.750 0.250 0.500
# ρ, g/cm³: 9.686
# Space-group type: No. 139


Computed relative energies in units of eV/atom: (A) 0.023; (B) 0.000; (C) 0.044


(A)
# PBE CuNi2Rh2, optimized geometry
data_CuNi2Rh2
_symmetry_space_group_name_H-M 'P 1'
_symmetry_Int_Tables_number 1
_cell_length_a 7.058
_cell_length_b 7.058
_cell_length_c 2.683
_cell_angle_alpha 90.00
_cell_angle_beta 90.00
_cell_angle_gamma 90.00
loop_
_symmetry_equiv_pos_as_xyz
'x,y,z'
loop_
_atom_site_label
_atom_site_type_symbol
_atom_site_fract_x
_atom_site_fract_y
_atom_site_fract_z
Rh1 Rh 0.677 0.823 0.500
Rh2 Rh 0.177 0.677 0.500
Rh3 Rh 0.323 0.177 0.500
Rh4 Rh 0.823 0.323 0.500
Cu1 Cu 0.500 0.500 0.000
Cu2 Cu 0.000 0.000 0.000
Ni1 Ni 0.120 0.380 0.000
Ni2 Ni 0.380 0.880 0.000
Ni3 Ni 0.620 0.120 0.000
Ni4 Ni 0.880 0.620 0.000
# ρ, g/cm³: 9.610
# Space-group type: No. 127


(B)
# PBE CuNi2Rh2, optimized geometry
data_CuNi2Rh2
_symmetry_space_group_name_H-M 'P 1'
_symmetry_Int_Tables_number 1
_cell_length_a 7.141
_cell_length_b 7.141
_cell_length_c 2.663
_cell_angle_alpha 90.00
_cell_angle_beta 90.00
_cell_angle_gamma 90.00
loop_
_symmetry_equiv_pos_as_xyz
'x,y,z'
loop_
_atom_site_label
_atom_site_type_symbol
_atom_site_fract_x
_atom_site_fract_y
_atom_site_fract_z
Rh1 Rh 0.632 0.132 0.000
Rh2 Rh 0.132 0.368 0.000
Rh3 Rh 0.368 0.868 0.000
Rh4 Rh 0.868 0.632 0.000
Ni1 Ni 0.833 0.333 0.500
Ni2 Ni 0.667 0.833 0.500
Ni3 Ni 0.167 0.667 0.500
Ni4 Ni 0.333 0.167 0.500
Cu1 Cu 0.000 0.000 0.000
Cu2 Cu 0.500 0.500 0.000
# ρ, g/cm³: 9.459
# Space-group type: No. 127


Computed relative energies in units of eV/atom: (A) 0.000; (B) 0.044